Record 1
SrBeAs3: relaxed, PBE.

Cell lengths 4.7313, 4.7313, 4.7313 Å; angles 90.00, 90.00, 90.00 degrees
Fractional positions:
As 0.0000 0.0000 0.5000
As 0.0000 0.5000 0.0000
As 0.5000 0.0000 0.0000
Sr 0.5000 0.5000 0.5000
Be 0.0000 0.0000 0.0000

Output
crystal system = cubic
formation energy = -0.144 eV/atom
mass density = 5.04 g cm⁻³
density of states at the Fermi level = 0.584 states/eV/atom
offset from the most stable computed form = 0.000 eV/atom
VASP energy = -4.02 eV/atom
symmetry = Pm-3m (221)


Record 2
SrBe2As2: relaxed, PBE.

Cell lengths 6.3515, 6.3515, 6.2818 Å; angles 111.58, 111.58, 105.81 degrees
Fractional positions:
As 0.5676 0.9324 0.7500
As 0.1824 0.3176 0.7500
As 0.8176 0.6824 0.2500
As 0.4324 0.0676 0.2500
Be 0.7529 0.0029 0.5058
Be 0.4971 0.7471 0.9942
Be 0.2471 0.9971 0.4942
Be 0.5029 0.2529 0.0058
Sr 0.1250 0.3750 0.2500
Sr 0.8750 0.6250 0.7500

Output
crystal system = orthorhombic
formation energy = -0.576 eV/atom
mass density = 4.39 g cm⁻³
density of states at the Fermi level = 0.018 states/eV/atom
VASP energy = -4.26 eV/atom
symmetry = Fddd (70)